# TlV2CdAu (PBE, relaxed)
data_TlV2CdAu
_cell_length_a 5.2176
_cell_length_b 5.2176
_cell_length_c 5.1653
_cell_angle_alpha 90.00
_cell_angle_beta 90.00
_cell_angle_gamma 90.00
_symmetry_space_group_name_H-M 'P 4/m m m'
_symmetry_Int_Tables_number 123
_symmetry_space_group_name_Hall '-P 4 2'
loop_
_atom_site_label
_atom_site_fract_x
_atom_site_fract_y
_atom_site_fract_z
Tl1 0.0000 0.0000 0.0000
V1 0.0000 0.5000 0.0000
Cd1 0.5000 0.5000 0.5000
Au1 0.0000 0.0000 0.5000
# DFT total energy   -18.075 eV/cell
# Total magnetization   6.683 μB/f.u.
# DOS(E_F)   1.8287 states/eV/atom